No. 1
HoErAlIn: relaxed, PBE-GGA.

D(E_F)	0.409	states/eV per atom
formation energy from the elements	-0.402	eV/atom
E	-4.31	eV/atom

abc: 5.1838 5.1838 5.1838
angles: 60.00 60.00 60.00
With the nearest neighbours (Å) after each atom.
Element x y z (fractional)
Al: 0.7500 0.7500 0.7500  4 Er 3.17, 4 Ho 3.17
In: 0.2500 0.2500 0.2500  4 Ho 3.17, 4 Er 3.17
Ho: 0.5000 0.5000 0.5000  4 Al 3.17, 4 In 3.17
Er: 0.0000 0.0000 0.0000  4 In 3.17, 4 Al 3.17



No. 2
HoErAlIn: relaxed, PBE-GGA.

D(E_F)	0.455	states/eV per atom
formation energy from the elements	-0.414	eV/atom
E	-4.32	eV/atom

abc: 3.5643 3.5643 7.7232
angles: 90.00 90.00 90.00
With the nearest neighbours (Å) after each atom.
Element x y z (fractional)
Ho: 0.5000 0.5000 0.1194  4 Al 3.12, 4 In 3.24
Er: 0.5000 0.5000 0.5948  4 Al 3.11, 4 In 3.23
Al: 0.0000 0.0000 0.3582  4 Er 3.11, 4 Ho 3.12
In: 0.0000 0.0000 0.8556  4 Er 3.23, 4 Ho 3.24, 4 In 3.56



No. 3
HoErAlIr: relaxed, PBE-GGA.

D(E_F)	0.776	states/eV per atom
formation energy from the elements	-0.595	eV/atom
E	-6.03	eV/atom

abc: 4.9379 4.9379 4.9379
angles: 60.00 60.00 60.00
With the nearest neighbours (Å) after each atom.
Element x y z (fractional)
Al: 0.5000 0.5000 0.5000  4 Ho 3.02, 4 Er 3.02
Ir: 0.0000 0.0000 0.0000  4 Er 3.02, 4 Ho 3.02
Ho: 0.7500 0.7500 0.7500  4 Ir 3.02, 4 Al 3.02
Er: 0.2500 0.2500 0.2500  4 Al 3.02, 4 Ir 3.02



No. 4
LaHoErAl: relaxed, PBE-GGA.

D(E_F)	1.746	states/eV per atom
formation energy from the elements	-0.060	eV/atom
E	-4.51	eV/atom

abc: 5.4186 5.4186 5.4186
angles: 60.00 60.00 60.00
With the nearest neighbours (Å) after each atom.
Element x y z (fractional)
Al: 0.5000 0.5000 0.5000  4 La 3.32, 4 Er 3.32
La: 0.7500 0.7500 0.7500  4 Al 3.32, 4 Ho 3.32
Ho: 0.0000 0.0000 0.0000  4 Er 3.32, 4 La 3.32
Er: 0.2500 0.2500 0.2500  4 Al 3.32, 4 Ho 3.32



No. 5
LaHoErAl: relaxed, PBE-GGA.

D(E_F)	0.978	states/eV per atom
formation energy from the elements	-0.190	eV/atom
E	-4.64	eV/atom

abc: 3.5348 3.5348 9.1509
angles: 90.00 90.00 90.00
With the nearest neighbours (Å) after each atom.
Element x y z (fractional)
La: 0.0000 0.0000 0.0723  4 La 3.53, 4 Er 3.67, 4 Ho 3.69
Ho: 0.5000 0.5000 0.7759  4 Al 3.13
Er: 0.5000 0.5000 0.3664  4 Al 3.12
Al: 0.0000 0.0000 0.5701  4 Er 3.12, 4 Ho 3.13



No. 6
HoErLuAl: relaxed, PBE-GGA.

D(E_F)	1.233	states/eV per atom
formation energy from the elements	-0.077	eV/atom
E	-4.43	eV/atom

abc: 5.2816 5.2816 5.2816
angles: 60.00 60.00 60.00
With the nearest neighbours (Å) after each atom.
Element x y z (fractional)
Al: 0.2500 0.2500 0.2500  4 Ho 3.23, 4 Er 3.23
Lu: 0.7500 0.7500 0.7500  4 Ho 3.23, 4 Er 3.23
Ho: 0.0000 0.0000 0.0000  4 Lu 3.23, 4 Al 3.23
Er: 0.5000 0.5000 0.5000  4 Al 3.23, 4 Lu 3.23



No. 7
NaHoErAl: relaxed, PBE-GGA.

D(E_F)	1.003	states/eV per atom
formation energy from the elements	-0.024	eV/atom
E	-3.57	eV/atom

abc: 5.2535 5.2535 5.2535
angles: 60.00 60.00 60.00
With the nearest neighbours (Å) after each atom.
Element x y z (fractional)
Na: 0.7500 0.7500 0.7500  4 Er 3.22, 4 Ho 3.22
Al: 0.2500 0.2500 0.2500  4 Ho 3.22, 4 Er 3.22
Ho: 0.0000 0.0000 0.0000  4 Na 3.22, 4 Al 3.22
Er: 0.5000 0.5000 0.5000  4 Al 3.22, 4 Na 3.22



No. 8
NdHoErAl: relaxed, PBE-GGA.

D(E_F)	1.745	states/eV per atom
formation energy from the elements	-0.050	eV/atom
E	-4.46	eV/atom

abc: 5.3815 5.3815 5.3815
angles: 60.00 60.00 60.00
With the nearest neighbours (Å) after each atom.
Element x y z (fractional)
Al: 0.0000 0.0000 0.0000  4 Nd 3.30, 4 Er 3.30
Nd: 0.2500 0.2500 0.2500  4 Ho 3.30, 4 Al 3.30
Ho: 0.5000 0.5000 0.5000  4 Nd 3.30, 4 Er 3.30
Er: 0.7500 0.7500 0.7500  4 Al 3.30, 4 Ho 3.30



No. 9
NdHoErAl: relaxed, PBE-GGA.

D(E_F)	0.797	states/eV per atom
formation energy from the elements	-0.198	eV/atom
E	-4.61	eV/atom

abc: 3.5226 3.5226 9.0618
angles: 90.00 90.00 90.00
With the nearest neighbours (Å) after each atom.
Element x y z (fractional)
Nd: 0.0000 0.0000 0.0723  4 Nd 3.52, 4 Er 3.62, 4 Ho 3.64
Ho: 0.5000 0.5000 0.7799  4 Al 3.13
Er: 0.5000 0.5000 0.3624  4 Al 3.12
Al: 0.0000 0.0000 0.5701  4 Er 3.12, 4 Ho 3.13



No. 10
Ho2ErAlO: relaxed, PBE-GGA.

ΔE_f (raw)	-1.366	eV per atom
D(E_F)	0.383	states/eV per atom
E	-5.85	eV/atom

abc: 4.6678 4.7004 4.7004
angles: 90.00 90.00 90.00
With the nearest neighbours (Å) after each atom.
Element x y z (fractional)
Ho: 0.0000 0.0000 0.5000  2 O 2.35
Ho: 0.0000 0.5000 0.0000  2 O 2.35
Er: 0.5000 0.0000 0.0000  2 O 2.33
Al: 0.5000 0.5000 0.5000  8 Ho 3.31, 4 Er 3.32
O: 0.0000 0.0000 0.0000  2 Er 2.33, 4 Ho 2.35



No. 11
HoErAlOs: relaxed, PBE-GGA.

D(E_F)	0.453	states/eV per atom
formation energy from the elements	-0.303	eV/atom
E	-6.33	eV/atom

abc: 4.9065 4.9065 4.9065
angles: 60.00 60.00 60.00
With the nearest neighbours (Å) after each atom.
Element x y z (fractional)
Al: 0.7500 0.7500 0.7500  4 Ho 3.00, 4 Er 3.00
Os: 0.2500 0.2500 0.2500  4 Ho 3.00, 4 Er 3.00
Ho: 0.0000 0.0000 0.0000  4 Al 3.00, 4 Os 3.00
Er: 0.5000 0.5000 0.5000  4 Os 3.00, 4 Al 3.00



No. 12
HoErAlPb: relaxed, PBE-GGA.

D(E_F)	0.777	states/eV per atom
formation energy from the elements	-0.310	eV/atom
E	-4.46	eV/atom

abc: 5.2636 5.2636 5.2636
angles: 60.00 60.00 60.00
With the nearest neighbours (Å) after each atom.
Element x y z (fractional)
Pb: 0.2500 0.2500 0.2500  4 Ho 3.22, 4 Er 3.22
Al: 0.7500 0.7500 0.7500  4 Ho 3.22, 4 Er 3.22
Ho: 0.0000 0.0000 0.0000  4 Al 3.22, 4 Pb 3.22
Er: 0.5000 0.5000 0.5000  4 Pb 3.22, 4 Al 3.22



No. 13
PrHoErAl: relaxed, PBE-GGA.

D(E_F)	1.787	states/eV per atom
formation energy from the elements	-0.047	eV/atom
E	-4.46	eV/atom

abc: 5.3978 5.3978 5.3978
angles: 60.00 60.00 60.00
With the nearest neighbours (Å) after each atom.
Element x y z (fractional)
Pr: 0.2500 0.2500 0.2500  4 Ho 3.31, 4 Al 3.31
Al: 0.5000 0.5000 0.5000  4 Er 3.31, 4 Pr 3.31
Ho: 0.0000 0.0000 0.0000  4 Pr 3.31, 4 Er 3.31
Er: 0.7500 0.7500 0.7500  4 Al 3.31, 4 Ho 3.31



No. 14
PrHoErAl: relaxed, PBE-GGA.

D(E_F)	0.810	states/eV per atom
formation energy from the elements	-0.197	eV/atom
E	-4.61	eV/atom

abc: 3.5331 3.5331 9.0830
angles: 90.00 90.00 90.00
With the nearest neighbours (Å) after each atom.
Element x y z (fractional)
Pr: 0.0000 0.0000 0.0724  4 Pr 3.53, 4 Er 3.64, 4 Ho 3.66
Ho: 0.5000 0.5000 0.7784  4 Al 3.13
Er: 0.5000 0.5000 0.3638  4 Al 3.12
Al: 0.0000 0.0000 0.5701  4 Er 3.12, 4 Ho 3.13